1.
# CrAsCl2

CrAsCl2 after structural relaxation (PBE-GGA, the Alexandria database).

Unit cell a=7.2519 b=7.2519 c=7.2519 alpha=155.92 beta=138.85 gamma=48.24
Closest atoms and distances in Å follow each position.
Element x y z (fractional)
1 Cr 0.7500 0.2500 0.5000  4 Cl 2.37
2 As 0.2500 0.7500 0.5000  4 Cr 2.96, 2 As 3.03, 4 Cl 3.13
3 Cl 0.8879 0.8879 0.0000  2 Cr 2.37
4 Cl 0.6121 0.6121 0.0000  2 Cr 2.37

## Properties
uncorrected energy	-18.84	eV per cell
volume	102.1	Å³ per cell
space group	Immm, No. 71
energy above the lowest structure with this stoichiometry	293	meV/atom

***

2.
# Cr2AsCl

Cr2AsCl after structural relaxation (PBE-GGA, the Alexandria database).

Unit cell a=4.6075 b=4.6075 c=4.6075 alpha=60.00 beta=60.00 gamma=60.00
Closest atoms and distances in Å follow each position.
Element x y z (fractional)
1 Cr 0.2500 0.2500 0.2500  4 Cl 2.82, 4 As 2.82
2 Cr 0.7500 0.7500 0.7500  4 As 2.82, 4 Cl 2.82
3 As 0.5000 0.5000 0.5000  8 Cr 2.82
4 Cl 0.0000 0.0000 0.0000  8 Cr 2.82

## Properties
uncorrected energy	-25.05	eV per cell
volume	69.2	Å³ per cell
space group	Fm-3m, No. 225
energy above the lowest structure with this stoichiometry	294	meV/atom

***

3.
# CrAsCl2

CrAsCl2 after structural relaxation (PBE-GGA, the Alexandria database).

Unit cell a=3.3449 b=3.3449 c=11.7144 alpha=90.00 beta=90.00 gamma=122.23
Closest atoms and distances in Å follow each position.
Element x y z (fractional)
1 Cr 0.5000 0.5000 0.2500  4 Cl 2.33
2 As 0.5000 0.5000 0.7500  6 As 3.23-3.34
3 Cl 0.0000 0.0000 0.1071  2 Cr 2.33
4 Cl 0.0000 0.0000 0.3929  2 Cr 2.33

## Properties
uncorrected energy	-18.63	eV per cell
volume	110.9	Å³ per cell
space group	Cmmm, No. 65
energy above the lowest structure with this stoichiometry	344	meV/atom

***

4.
# Cr3AsCl

Cr3AsCl after structural relaxation (PBE-GGA, the Alexandria database).

Unit cell a=4.1865 b=4.1865 c=4.1865 alpha=90.00 beta=90.00 gamma=90.00
Closest atoms and distances in Å follow each position.
Element x y z (fractional)
1 Cr 0.0000 0.5000 0.0000  2 Cl 2.09
2 Cr 0.0000 0.0000 0.5000  2 Cl 2.09
3 Cr 0.5000 0.0000 0.0000  2 Cl 2.09
4 As 0.5000 0.5000 0.5000  12 Cr 2.96
5 Cl 0.0000 0.0000 0.0000  6 Cr 2.09

## Properties
uncorrected energy	-30.99	eV per cell
volume	73.4	Å³ per cell
space group	Pm-3m, No. 221
energy above the lowest structure with this stoichiometry	285	meV/atom

***

5.
# Cr4AsCl

Cr4AsCl after structural relaxation (PBE-GGA, the Alexandria database).

Unit cell a=4.8744 b=4.8744 c=4.8744 alpha=60.00 beta=60.00 gamma=60.00
Closest atoms and distances in Å follow each position.
Element x y z (fractional)
1 Cr 0.8846 0.3718 0.3718  6 Cr 2.37-2.50
2 Cr 0.3718 0.3718 0.8846  6 Cr 2.37-2.50
3 Cr 0.3718 0.8846 0.3718  6 Cr 2.37-2.50
4 Cr 0.3718 0.3718 0.3718  6 Cr 2.37-2.50
5 As 0.7500 0.7500 0.7500  12 Cr 2.86, 4 Cl 2.98
6 Cl 0.0000 0.0000 0.0000  12 Cr 2.85, 4 As 2.98

## Properties
uncorrected energy	-40.23	eV per cell
volume	81.9	Å³ per cell
space group	F-43m, No. 216

***

6.
# CrAsCl2

CrAsCl2 after structural relaxation (PBE-GGA, the Alexandria database).

Unit cell a=2.8519 b=2.8519 c=9.6752 alpha=90.00 beta=90.00 gamma=90.01
Closest atoms and distances in Å follow each position.
Element x y z (fractional)
1 Cr 0.0000 0.0000 0.4857  4 Cl 2.45, 4 As 2.65
2 As 0.5000 0.5000 0.6634  4 Cr 2.65, 4 As 2.85
3 Cl 0.0000 0.0000 0.0081  4 Cl 2.85
4 Cl 0.5000 0.5000 0.3427  4 Cr 2.45

## Properties
uncorrected energy	-17.64	eV per cell
volume	78.7	Å³ per cell
space group	P4mm, No. 99
energy above the lowest structure with this stoichiometry	593	meV/atom

***

7.
# CrAsCl2

CrAsCl2 after structural relaxation (PBE-GGA, the Alexandria database).

Unit cell a=6.4462 b=6.4462 c=6.5168 alpha=60.36 beta=60.36 gamma=90.00
Closest atoms and distances in Å follow each position.
Element x y z (fractional)
1 Cr 0.5000 0.5000 0.0000  4 Cl 2.17
2 Cr 0.2500 0.7500 0.5000  4 Cl 2.17
3 As 0.0000 0.0000 0.0000  4 Cl 3.08
4 As 0.7500 0.2500 0.5000  4 Cl 3.08
5 Cl 0.5097 0.1250 0.2500  2 Cr 2.17
6 Cl 0.2403 0.6250 0.2500  2 Cr 2.17
7 Cl 0.3750 0.4903 0.7500  2 Cr 2.17
8 Cl 0.8750 0.7597 0.7500  2 Cr 2.17

## Properties
uncorrected energy	-31.43	eV per cell
volume	193.5	Å³ per cell
space group	I-42d, No. 122
energy above the lowest structure with this stoichiometry	1073	meV/atom

***

8.
# CrAsCl2

CrAsCl2 after structural relaxation (PBE-GGA, the Alexandria database).

Unit cell a=3.6952 b=5.2364 c=6.1611 alpha=48.78 beta=90.00 gamma=90.00
Closest atoms and distances in Å follow each position.
Element x y z (fractional)
1 Cr 0.0000 0.5439 0.4873  2 Cl 2.38-2.44, 2 As 2.48
2 As 0.5000 0.6822 0.6646  1 Cl 2.36, 2 Cr 2.48
3 Cl 0.0000 0.9968 0.9777  2 Cr 2.38-2.44
4 Cl 0.5000 0.2772 0.3704  1 As 2.36

## Properties
uncorrected energy	-19.45	eV per cell
volume	89.7	Å³ per cell
space group	Pm, No. 6
energy above the lowest structure with this stoichiometry	139	meV/atom

***

9.
# CrAsCl2

CrAsCl2 after structural relaxation (PBE-GGA, the Alexandria database).

Unit cell a=3.7133 b=3.7133 c=8.2747 alpha=89.45 beta=89.45 gamma=60.00
Closest atoms and distances in Å follow each position.
Element x y z (fractional)
1 Cr 0.4570 0.4570 0.4728  3 As 2.47, 3 Cl 2.55
2 As 0.1257 0.1257 0.3245  1 Cl 2.17
3 Cl 0.1294 0.1294 0.0627  1 As 2.17
4 Cl 0.7879 0.7879 0.6400  3 Cr 2.55

## Properties
uncorrected energy	-20.01	eV per cell
volume	98.8	Å³ per cell
space group	Cm, No. 8
energy above the lowest structure with this stoichiometry	0	meV/atom

***

10.
# Cr2AsCl

Cr2AsCl after structural relaxation (PBE-GGA, the Alexandria database).

Unit cell a=7.1552 b=7.1552 c=3.6551 alpha=104.55 beta=104.55 gamma=28.18
Closest atoms and distances in Å follow each position.
Element x y z (fractional)
1 Cr 0.0117 0.0117 0.1384  1 Cl 2.47, 4 As 2.60
2 Cr 0.8261 0.8261 0.4535  2 Cl 2.46, 2 As 2.56
3 As 0.4659 0.4659 0.5938  6 Cr 2.56-2.60
4 Cl 0.1963 0.1963 0.3143  3 Cr 2.46-2.47

## Properties
uncorrected energy	-26.23	eV per cell
volume	85.4	Å³ per cell
space group	Cm, No. 8
energy above the lowest structure with this stoichiometry	0	meV/atom

***

11.
# Cr2AsCl

Cr2AsCl after structural relaxation (PBE-GGA, the Alexandria database).

Unit cell a=3.2984 b=3.4029 c=6.7848 alpha=90.00 beta=90.00 gamma=90.00
Closest atoms and distances in Å follow each position.
Element x y z (fractional)
1 Cr 0.0000 0.7507 0.0473  2 Cl 2.61, 4 As 2.74, 1 Cr 2.75
2 Cr 0.0000 0.7493 0.4527  2 Cl 2.61, 4 As 2.74, 1 Cr 2.75
3 As 0.5000 0.2500 0.2500  8 Cr 2.74
4 Cl 0.5000 0.7500 0.7500  4 Cr 2.61

## Properties
uncorrected energy	-25.88	eV per cell
volume	76.2	Å³ per cell
space group	Pmmm, No. 47
energy above the lowest structure with this stoichiometry	86	meV/atom

***

12.
# CrAsCl

CrAsCl after structural relaxation (PBE-GGA, the Alexandria database).

Unit cell a=4.5705 b=4.5705 c=4.5705 alpha=60.00 beta=60.00 gamma=60.00
Closest atoms and distances in Å follow each position.
Element x y z (fractional)
1 Cr 0.5000 0.5000 0.5000  4 As 2.80
2 As 0.7500 0.7500 0.7500  4 Cr 2.80, 4 Cl 2.80
3 Cl 0.0000 0.0000 0.0000  4 As 2.80

## Properties
uncorrected energy	-14.21	eV per cell
volume	67.5	Å³ per cell
space group	F-43m, No. 216
energy above the lowest structure with this stoichiometry	890	meV/atom

***

13.
# Cr3AsCl

Cr3AsCl after structural relaxation (PBE-GGA, the Alexandria database).

Unit cell a=4.9546 b=4.9546 c=4.9546 alpha=90.00 beta=90.00 gamma=90.00
Closest atoms and distances in Å follow each position.
Element x y z (fractional)
1 Cr 0.0000 0.5000 0.0000  2 As 2.48
2 Cr 0.0000 0.0000 0.5000  2 As 2.48
3 Cr 0.5000 0.0000 0.0000  2 As 2.48
4 As 0.0000 0.0000 0.0000  6 Cr 2.48
5 Cl 0.5000 0.5000 0.5000  12 Cr 3.50

## Properties
uncorrected energy	-32.41	eV per cell
volume	121.6	Å³ per cell
space group	Pm-3m, No. 221
energy above the lowest structure with this stoichiometry	0	meV/atom

***

14.
# Cr2AsCl

Cr2AsCl after structural relaxation (PBE-GGA, the Alexandria database).

Unit cell a=3.2695 b=3.2695 c=6.7786 alpha=90.00 beta=90.00 gamma=90.00
Closest atoms and distances in Å follow each position.
Element x y z (fractional)
1 Cr 0.0000 0.0000 0.0383  4 As 2.72, 1 Cr 2.87, 4 Cl 3.03
2 Cr 0.0000 0.0000 0.4617  4 As 2.72, 1 Cr 2.87, 4 Cl 3.03
3 As 0.5000 0.5000 0.2500  8 Cr 2.72
4 Cl 0.5000 0.5000 0.7500  8 Cr 3.03, 4 Cl 3.27, 2 As 3.39

## Properties
uncorrected energy	-25.22	eV per cell
volume	72.5	Å³ per cell
space group	P4/mmm, No. 123
energy above the lowest structure with this stoichiometry	251	meV/atom